# SmPdRh

A relaxed structure of SmPdRh (PBE-GGA, Alexandria via LeMat-Bulk).

- DOS at the Fermi energy: 2.743 states/eV/cell
- ΔE_f: -464.2 meV per atom
- Energy relative to the lowest polymorph listed for this composition: 240 meV per atom
- Final energy: -6.219 eV per atom

POSCAR file:
```
SmPdRh
1.0
-1.7805 1.7805 4.5879
1.7805 -1.7805 4.5879
1.7805 1.7805 -4.5879
Sm Pd Rh
1 1 1
Direct
0.0000 0.0000 0.0000
0.3243 0.3243 0.0000
0.6646 0.6646 0.0000
```